A plane-wave DFT calculation with GGA-PBE was carried out for an optimized crystal structure of CaTmGe2Pd5.

Cell: 4.2718 4.2718 8.9287 Å, 90.00 90.00 90.00°
Element x y z (fractional)
Ca 0.0000 0.0000 0.5000
Tm 0.0000 0.0000 0.0000
Ge 0.5000 0.5000 0.1366
Ge 0.5000 0.5000 0.8634
Pd 0.0000 0.5000 0.2702
Pd 0.5000 0.0000 0.2702
Pd 0.0000 0.5000 0.7298
Pd 0.5000 0.0000 0.7298
Pd 0.5000 0.5000 0.5000

SG	P4/mmm (123)
formation energy from the elements	-0.71	eV/atom

A plane-wave DFT calculation with GGA-PBE was carried out for an optimized crystal structure of Tb3Y3Er.

Cell: 5.6666 9.5979 9.5983 Å, 120.02 90.00 90.00°
Element x y z (fractional)
Tb 0.7500 0.7617 0.8102
Tb 0.7500 0.0487 0.2384
Tb 0.7500 0.1901 0.9516
Tb 0.2500 0.2383 0.1898
Tb 0.2500 0.9513 0.7616
Tb 0.2500 0.8099 0.0484
Y 0.2500 0.5250 0.6201
Y 0.2500 0.0949 0.4748
Y 0.2500 0.3796 0.9048
Y 0.7500 0.4750 0.3799
Y 0.7500 0.9051 0.5252
Y 0.7500 0.6204 0.0952
Er 0.7500 0.3334 0.6668
Er 0.2500 0.6666 0.3332

SG	P6_3/m (176)
distance to the lowest polymorph of the same formula	0.0	kJ per mole of atoms
formation energy from the elements	0.01	eV/atom

A plane-wave DFT calculation with GGA-PBE was carried out for an optimized crystal structure of TbIr4.

Cell: 4.8273 4.8273 4.8273 Å, 90.00 90.00 90.00°
Element x y z (fractional)
Ir 0.0000 0.0000 0.0000
Ir 0.5000 0.0000 0.5000
Ir 0.0000 0.5000 0.5000
Ir 0.5000 0.5000 0.0000
Tb 0.5000 0.5000 0.5000

SG	Pm-3m (221)
formation energy from the elements	2.50	eV/atom

A plane-wave DFT calculation with GGA-PBE was carried out for an optimized crystal structure of Sm2Ho7Er4.

Cell: 9.3615 14.5517 6.1137 Å, 82.10 95.99 150.58°
Element x y z (fractional)
Sm 0.6906 0.3066 0.8460
Sm 0.3094 0.6934 0.1540
Ho 0.2317 0.7705 0.6149
Ho 0.7683 0.2295 0.3851
Ho 0.0000 0.0000 0.0000
Ho 0.8481 0.1547 0.9239
Ho 0.1519 0.8453 0.0761
Ho 0.4614 0.5383 0.2310
Ho 0.5386 0.4617 0.7690
Er 0.0750 0.9222 0.5376
Er 0.9250 0.0778 0.4624
Er 0.6130 0.3842 0.3075
Er 0.3870 0.6158 0.6925

SG	P-1 (2)
formation energy from the elements	0.02	eV/atom

A plane-wave DFT calculation with GGA-PBE was carried out for an optimized crystal structure of BaCdIn8Hg2.

Cell: 6.4411 6.4411 12.1679 Å, 57.38 57.38 62.61°
Element x y z (fractional)
Ba 0.0000 0.0000 0.5000
Cd 0.0000 0.0000 0.0000
In 0.8020 0.3345 0.7721
In 0.7292 0.7292 0.9205
In 0.6768 0.6768 0.4885
In 0.3232 0.3232 0.5115
In 0.2708 0.2708 0.0795
In 0.3345 0.8020 0.7721
In 0.6655 0.1980 0.2279
In 0.1980 0.6655 0.2279
Hg 0.6647 0.6647 0.2413
Hg 0.3353 0.3353 0.7587

SG	C2/m (12)
formation energy from the elements	-0.08	eV/atom

A plane-wave DFT calculation with GGA-PBE was carried out for an optimized crystal structure of CaLaSm2.

Cell: 3.7158 3.7158 10.5211 Å, 90.00 90.00 90.00°
Element x y z (fractional)
Ca 0.5000 0.5000 0.5000
Sm 0.0000 0.0000 0.7631
Sm 0.0000 0.0000 0.2369
La 0.5000 0.5000 0.0000

SG	P4/mmm (123)
distance to the lowest polymorph of the same formula	1.1	kJ per mole of atoms
formation energy from the elements	0.06	eV/atom

A plane-wave DFT calculation with GGA-PBE was carried out for an optimized crystal structure of TiZnSn.

Cell: 5.7733 4.0493 9.8294 Å, 90.00 109.06 90.00°
Element x y z (fractional)
Zn 0.0000 0.0000 0.0000
Zn 0.0000 0.5000 0.5000
Zn 0.5000 0.5000 0.5000
Zn 0.5000 0.0000 0.0000
Sn 0.1842 0.0000 0.3347
Sn 0.8158 0.0000 0.6653
Sn 0.1842 0.5000 0.8347
Sn 0.8158 0.5000 0.1653
Ti 0.3229 0.0000 0.6521
Ti 0.6771 0.0000 0.3479
Ti 0.3229 0.5000 0.1521
Ti 0.6771 0.5000 0.8479

SG	C2/m (12)
formation energy from the elements	-0.19	eV/atom

A plane-wave DFT calculation with GGA-PBE was carried out for an optimized crystal structure of La4Tb9Pr11.

Cell: 3.7667 15.5542 15.5542 Å, 112.58 90.00 90.00°
Element x y z (fractional)
La 0.5000 0.5540 0.7554
La 0.5000 0.4460 0.2446
La 0.5000 0.7554 0.5540
La 0.5000 0.2446 0.4460
Tb 0.5000 0.6365 0.1625
Tb 0.5000 0.3635 0.8375
Tb 0.5000 0.1625 0.6365
Tb 0.5000 0.8375 0.3635
Tb 0.5000 0.7895 0.9347
Tb 0.5000 0.2105 0.0653
Tb 0.5000 0.9347 0.7895
Tb 0.5000 0.0653 0.2105
Tb 0.5000 0.5000 0.5000
Pr 0.0000 0.5932 0.9552
Pr 0.0000 0.4068 0.0448
Pr 0.0000 0.9552 0.5932
Pr 0.0000 0.0448 0.4068
Pr 0.0000 0.6350 0.3650
Pr 0.0000 0.3650 0.6350
Pr 0.0000 0.8419 0.1581
Pr 0.0000 0.1581 0.8419
Pr 0.0000 0.0000 0.0000
Pr 0.0000 0.7110 0.7110
Pr 0.0000 0.2890 0.2890

SG	Cmmm (65)
formation energy from the elements	0.07	eV/atom

| no. | D(E_F) (states/eV/cell) | E (eV/atom) |
| --- | --- | --- |
| 1 | 5.9 | -5.3370 |
| 2 | 30.3 | -5.3984 |
| 3 | 8.5 | -5.5169 |
| 4 | 15.7 | -4.5783 |
| 5 | 4.6 | -2.1905 |
| 6 | 6.8 | -4.0340 |
| 7 | 6.1 | -4.5809 |
| 8 | 32.0 | -4.6776 |